# TaHg (PBEsol, optimized geometry)
data_TaHg
_space_group_name_H-M_alt 'I 41/a m d'
_space_group_IT_number 141
_cell_length_a 4.085
_cell_length_b 4.085
_cell_length_c 8.892
_cell_angle_alpha 90.00
_cell_angle_beta 90.00
_cell_angle_gamma 90.00
loop_
_space_group_symop_operation_xyz
'x,y,z'
'-x,-y,-z'
'-y+1/4,x+3/4,z+1/4'
'y+1/4,-x+3/4,-z+1/4'
'-x+1/2,-y,z+1/2'
'x+1/2,y,-z+1/2'
'y+1/4,-x+1/4,z+3/4'
'-y+1/4,x+1/4,-z+3/4'
'x,-y,-z'
'-x,y,z'
'-y+1/4,-x+1/4,-z+3/4'
'y+1/4,x+1/4,z+3/4'
'-x+1/2,y,-z+1/2'
'x+1/2,-y,z+1/2'
'y+1/4,x+3/4,-z+1/4'
'-y+1/4,-x+3/4,z+1/4'
'x+1/2,y+1/2,z+1/2'
'-x+1/2,-y+1/2,-z+1/2'
'-y+3/4,x+1/4,z+3/4'
'y+3/4,-x+1/4,-z+3/4'
'-x,-y+1/2,z'
'x,y+1/2,-z'
'y+3/4,-x+3/4,z+1/4'
'-y+3/4,x+3/4,-z+1/4'
'x+1/2,-y+1/2,-z+1/2'
'-x+1/2,y+1/2,z+1/2'
'-y+3/4,-x+3/4,-z+1/4'
'y+3/4,x+3/4,z+1/4'
'-x,y+1/2,-z'
'x,-y+1/2,z'
'y+3/4,x+1/4,-z+3/4'
'-y+3/4,-x+1/4,z+3/4'
loop_
_atom_site_label
_atom_site_type_symbol
_atom_site_fract_x
_atom_site_fract_y
_atom_site_fract_z
Ta1 Ta 0.000 0.250 0.375
Hg1 Hg 0.000 0.250 0.875
# VASP energy in eV per cell: -49.36
# ΔH_f (0 K) in eV/atom: 0.39
# Total magnetic moment in μB/atom: 0.00

# GaBiSeBr2 (PBEsol, optimized geometry)
data_GaBiSeBr2
_space_group_name_H-M_alt 'P 4/m m m'
_space_group_IT_number 123
_space_group_name_Hall '-P 4 2'
_cell_length_a 5.643
_cell_length_b 5.643
_cell_length_c 5.518
_cell_angle_alpha 90.00
_cell_angle_beta 90.00
_cell_angle_gamma 90.00
loop_
_atom_site_label
_atom_site_type_symbol
_atom_site_fract_x
_atom_site_fract_y
_atom_site_fract_z
Ga1 Ga 0.000 0.000 0.000
Bi1 Bi 0.500 0.500 0.500
Se1 Se 0.500 0.500 0.000
Br1 Br 0.000 0.500 0.500
# VASP energy in eV per cell: -16.04
# Energy above the lowest structure with this stoichiometry in eV per atom: 0.000
# Uncorrected formation energy in eV/atom: -0.165
# Total magnetic moment in μB/atom: 0.00

# MgSbCl (PBEsol, optimized geometry)
data_MgSbCl
_space_group_name_H-M_alt 'P 3 m 1'
_space_group_IT_number 156
_cell_length_a 3.4050
_cell_length_b 3.4050
_cell_length_c 7.4146
_cell_angle_alpha 90.00
_cell_angle_beta 90.00
_cell_angle_gamma 120.00
loop_
_space_group_symop_operation_xyz
'x,y,z'
'-y,x-y,z'
'-x+y,-x,z'
'-y,-x,z'
'-x+y,y,z'
'x,x-y,z'
loop_
_atom_site_label
_atom_site_type_symbol
_atom_site_fract_x
_atom_site_fract_y
_atom_site_fract_z
Mg1 Mg 0.0000 0.0000 0.0000
Sb1 Sb 0.3333 0.6667 0.6851
Cl1 Cl 0.6667 0.3333 0.1969
# VASP energy in eV per cell: -10.87
# Energy above the lowest structure with this stoichiometry in eV per atom: 0.000
# Uncorrected formation energy in eV/atom: -0.863
# Total magnetic moment in μB/atom: 0.00

# Sc3Ag2 (PBEsol, optimized geometry)
data_Sc3Ag2
_space_group_name_H-M_alt 'I 4/m m m'
_space_group_IT_number 139
_space_group_name_Hall '-I 4 2'
_cell_length_a 3.473
_cell_length_b 3.473
_cell_length_c 16.798
_cell_angle_alpha 90.00
_cell_angle_beta 90.00
_cell_angle_gamma 90.00
loop_
_atom_site_label
_atom_site_type_symbol
_atom_site_fract_x
_atom_site_fract_y
_atom_site_fract_z
Sc1 Sc 0.000 0.000 0.000
Sc2 Sc 0.000 0.000 0.382
Ag1 Ag 0.000 0.000 0.205
# VASP energy in eV per cell: -54.46
# Energy above the lowest structure with this stoichiometry in eV per atom: 0.000
# ΔH_f (0 K) in eV/atom: -0.16
# Total magnetic moment in μB/atom: 0.00

# Co3C4 (PBEsol, optimized geometry)
data_Co3C4
_space_group_name_H-M_alt 'P -4 3 m'
_space_group_IT_number 215
_space_group_name_Hall 'P -4 2 3'
_cell_length_a 4.260
_cell_length_b 4.260
_cell_length_c 4.260
_cell_angle_alpha 90.00
_cell_angle_beta 90.00
_cell_angle_gamma 90.00
loop_
_atom_site_label
_atom_site_type_symbol
_atom_site_fract_x
_atom_site_fract_y
_atom_site_fract_z
Co1 Co 0.000 0.000 0.500
C1 C 0.224 0.224 0.224
# VASP energy in eV per cell: -53.52
# Energy above the lowest structure with this stoichiometry in eV per atom: 0.232
# ΔH_f (0 K) in eV/atom: 1.18
# Total magnetic moment in μB/atom: 0.00

# CsTlP2S (PBEsol, optimized geometry)
data_CsTlP2S
_space_group_name_H-M_alt 'P 4/m m m'
_space_group_IT_number 123
_space_group_name_Hall '-P 4 2'
_cell_length_a 5.610
_cell_length_b 5.610
_cell_length_c 5.476
_cell_angle_alpha 90.00
_cell_angle_beta 90.00
_cell_angle_gamma 90.00
loop_
_atom_site_label
_atom_site_type_symbol
_atom_site_fract_x
_atom_site_fract_y
_atom_site_fract_z
Cs1 Cs 0.000 0.000 0.000
Tl1 Tl 0.500 0.500 0.500
P1 P 0.000 0.500 0.000
S1 S 0.000 0.000 0.500
# VASP energy in eV per cell: -12.14
# Uncorrected formation energy in eV/atom: 1.481
# Total magnetic moment in μB/atom: 0.43

# BiIN3 (PBEsol, optimized geometry)
data_BiIN3
_space_group_name_H-M_alt 'P m -3 m'
_space_group_IT_number 221
_space_group_name_Hall '-P 4 2 3'
_cell_length_a 4.301
_cell_length_b 4.301
_cell_length_c 4.301
_cell_angle_alpha 90.00
_cell_angle_beta 90.00
_cell_angle_gamma 90.00
loop_
_atom_site_label
_atom_site_type_symbol
_atom_site_fract_x
_atom_site_fract_y
_atom_site_fract_z
Bi1 Bi 0.000 0.000 0.000
I1 I 0.500 0.500 0.500
N1 N 0.000 0.000 0.500
# VASP energy in eV per cell: -21.31
# Uncorrected formation energy in eV/atom: 2.065
# Total magnetic moment in μB/atom: 0.00

# TaTi2FeO (PBEsol, optimized geometry)
data_TaTi2FeO
_space_group_name_H-M_alt 'P 4/m m m'
_space_group_IT_number 123
_space_group_name_Hall '-P 4 2'
_cell_length_a 3.961
_cell_length_b 3.961
_cell_length_c 4.240
_cell_angle_alpha 90.00
_cell_angle_beta 90.00
_cell_angle_gamma 90.00
loop_
_atom_site_label
_atom_site_type_symbol
_atom_site_fract_x
_atom_site_fract_y
_atom_site_fract_z
Ta1 Ta 0.000 0.000 0.000
Ti1 Ti 0.000 0.500 0.500
Fe1 Fe 0.500 0.500 0.000
O1 O 0.000 0.000 0.500
# VASP energy in eV per cell: -47.84
# Uncorrected formation energy in eV/atom: -0.887
# Total magnetic moment in μB/atom: 0.39

# Cr3HW (PBEsol, optimized geometry)
data_Cr3HW
_space_group_name_H-M_alt 'P m -3 m'
_space_group_IT_number 221
_space_group_name_Hall '-P 4 2 3'
_cell_length_a 3.730
_cell_length_b 3.730
_cell_length_c 3.730
_cell_angle_alpha 90.00
_cell_angle_beta 90.00
_cell_angle_gamma 90.00
loop_
_atom_site_label
_atom_site_type_symbol
_atom_site_fract_x
_atom_site_fract_y
_atom_site_fract_z
Cr1 Cr 0.000 0.000 0.500
H1 H 0.000 0.000 0.000
W1 W 0.500 0.500 0.500
# VASP energy in eV per cell: -46.58
# Total magnetic moment in μB/atom: 0.00

# Ca2ScBr (PBEsol, optimized geometry)
data_Ca2ScBr
_space_group_name_H-M_alt 'F -4 3 m'
_space_group_IT_number 216
_space_group_name_Hall 'F -4 2 3'
_cell_length_a 7.881
_cell_length_b 7.881
_cell_length_c 7.881
_cell_angle_alpha 90.00
_cell_angle_beta 90.00
_cell_angle_gamma 90.00
loop_
_atom_site_label
_atom_site_type_symbol
_atom_site_fract_x
_atom_site_fract_y
_atom_site_fract_z
Ca1 Ca 0.000 0.000 0.000
Ca2 Ca 0.250 0.250 0.250
Sc1 Sc 0.000 0.000 0.500
Br1 Br 0.250 0.250 0.750
# VASP energy in eV per cell: -49.47
# Energy above the lowest structure with this stoichiometry in eV per atom: 0.619
# Uncorrected formation energy in eV/atom: 0.094
# Total magnetic moment in μB/atom: 0.00

# BeAuCl2 (PBEsol, optimized geometry)
data_BeAuCl2
_space_group_name_H-M_alt 'P 4/m m m'
_space_group_IT_number 123
_space_group_name_Hall '-P 4 2'
_cell_length_a 2.865
_cell_length_b 2.865
_cell_length_c 9.279
_cell_angle_alpha 90.00
_cell_angle_beta 90.00
_cell_angle_gamma 90.00
loop_
_atom_site_label
_atom_site_type_symbol
_atom_site_fract_x
_atom_site_fract_y
_atom_site_fract_z
Be1 Be 0.000 0.000 0.000
Au1 Au 0.000 0.000 0.500
Cl1 Cl 0.500 0.500 0.152
# VASP energy in eV per cell: -11.87
# Energy above the lowest structure with this stoichiometry in eV per atom: 0.611
# Uncorrected formation energy in eV/atom: 0.019
# Total magnetic moment in μB/atom: 0.00

# ZrSbPb (PBEsol, optimized geometry)
data_ZrSbPb
_space_group_name_H-M_alt 'I 4 m m'
_space_group_IT_number 107
_space_group_name_Hall 'I 4 -2'
_cell_length_a 3.764
_cell_length_b 3.764
_cell_length_c 9.922
_cell_angle_alpha 90.00
_cell_angle_beta 90.00
_cell_angle_gamma 90.00
loop_
_atom_site_label
_atom_site_type_symbol
_atom_site_fract_x
_atom_site_fract_y
_atom_site_fract_z
Zr1 Zr 0.000 0.000 0.000
Sb1 Sb 0.000 0.000 0.638
Pb1 Pb 0.000 0.000 0.324
# VASP energy in eV per cell: -37.58
# Energy above the lowest structure with this stoichiometry in eV per atom: 0.000
# Uncorrected formation energy in eV/atom: -0.381
# Total magnetic moment in μB/atom: 0.00

Q: Which value of VASP energy does entry 2 give?
A: -16.04 eV per cell